# 1
## MnCdNi2Pb (PBE)

Data for a relaxed MnCdNi2Pb crystal.

Cell: 4.5554 4.5554 5.0176 Å, 90.00 90.00 90.00°
Space group P4/mmm (No. 123)
Symmetry-distinct sites (fractional):
1 Mn 0.0000 0.0000 0.0000
2 Cd 0.5000 0.5000 0.5000
3 Ni 0.0000 0.5000 0.0000
4 Pb 0.0000 0.0000 0.5000

## Properties
- DFT total energy (eV per atom) = -4.2289
- V (Å³ per cell) = 104
- energy relative to the elements (eV/atom) = 0.842

***

# 2
## MnCdNiPd (PBE)

Data for a relaxed MnCdNiPd crystal.

Cell: 6.2485 6.2485 6.2485 Å, 90.00 90.00 90.00°
Space group F-43m (No. 216)
Symmetry-distinct sites (fractional):
1 Mn 0.0000 0.0000 0.0000
2 Cd 0.0000 0.0000 0.5000
3 Ni 0.2500 0.2500 0.7500
4 Pd 0.2500 0.2500 0.2500

## Properties
- DFT total energy (eV per atom) = -5.3414
- V (Å³ per cell) = 244
- energy relative to the elements (eV/atom) = -0.077

***

# 3
## RbMnCd2Ni (PBE)

Data for a relaxed RbMnCd2Ni crystal.

Cell: 6.2524 6.2524 4.9364 Å, 90.00 90.00 90.00°
Space group P4/mmm (No. 123)
Symmetry-distinct sites (fractional):
1 Rb 0.0000 0.0000 0.0000
2 Mn 0.5000 0.5000 0.5000
3 Cd 0.0000 0.5000 0.0000
4 Ni 0.0000 0.0000 0.5000

## Properties
- DFT total energy (eV per atom) = -1.9108
- V (Å³ per cell) = 193
- energy relative to the elements (eV/atom) = 1.639

***

# 4
## TaMnCd2Ni (PBE)

Data for a relaxed TaMnCd2Ni crystal.

Cell: 5.3878 5.3878 4.5044 Å, 90.00 90.00 90.00°
Space group P4/mmm (No. 123)
Symmetry-distinct sites (fractional):
1 Ta 0.0000 0.0000 0.0000
2 Mn 0.5000 0.5000 0.5000
3 Cd 0.0000 0.5000 0.0000
4 Ni 0.0000 0.0000 0.5000

## Properties
- DFT total energy (eV per atom) = -4.3132
- V (Å³ per cell) = 131
- energy relative to the elements (eV/atom) = 1.414

***

# 5
## MnCdNi2Te (PBE)

Data for a relaxed MnCdNi2Te crystal.

Cell: 4.6423 4.6423 5.5608 Å, 90.00 90.00 90.00°
Space group P4/mmm (No. 123)
Symmetry-distinct sites (fractional):
1 Mn 0.0000 0.0000 0.0000
2 Cd 0.5000 0.5000 0.0000
3 Ni 0.0000 0.5000 0.5000
4 Te 0.5000 0.5000 0.5000

## Properties
- DFT total energy (eV per atom) = -4.0300
- V (Å³ per cell) = 120
- uncorrected formation energy (meV per atom) = 927.8

***

# 6
## YMnCd2Ni (PBE)

Data for a relaxed YMnCd2Ni crystal.

Cell: 5.0169 5.0169 4.9267 Å, 90.00 90.00 90.00°
Space group P4/mmm (No. 123)
Symmetry-distinct sites (fractional):
1 Y 0.0000 0.0000 0.0000
2 Mn 0.0000 0.0000 0.5000
3 Cd 0.0000 0.5000 0.5000
4 Ni 0.5000 0.5000 0.0000

## Properties
- DFT total energy (eV per atom) = -3.8502
- V (Å³ per cell) = 124
- energy relative to the elements (eV/atom) = 0.799